Run w
VASP calculation (PBEsol) on a geometry-optimized Cu2NiBr structure.

Properties
Theoretical density ... 8.046 g/cm3
Space-group type ... Fm-3m (225)
Density of states at the Fermi level ... 3.4 states/eV per cell

Cell lengths 4.2644, 4.2644, 4.2644 Å; angles 60.00, 60.00, 60.00 degrees
Closest atoms and distances in Å follow each position.
Atoms (fractional coordinates):
Br 0.0000 0.0000 0.0000  8 Cu 2.61
Cu 0.2500 0.2500 0.2500  4 Br 2.61, 4 Ni 2.61
Cu 0.7500 0.7500 0.7500  4 Ni 2.61, 4 Br 2.61
Ni 0.5000 0.5000 0.5000  8 Cu 2.61



Run x
VASP calculation (PBEsol) on a geometry-optimized Cu2NiBr structure.

Properties
Theoretical density ... 8.226 g/cm3
Space-group type ... F-43m (216)
Density of states at the Fermi level ... 3.5 states/eV per cell

Cell lengths 4.2330, 4.2330, 4.2330 Å; angles 60.00, 60.00, 60.00 degrees
Closest atoms and distances in Å follow each position.
Atoms (fractional coordinates):
Cu 0.0000 0.0000 0.0000  4 Cu 2.59, 4 Ni 2.59
Cu 0.7500 0.7500 0.7500  4 Br 2.59, 4 Cu 2.59
Ni 0.2500 0.2500 0.2500  4 Cu 2.59, 4 Br 2.59
Br 0.5000 0.5000 0.5000  4 Ni 2.59, 4 Cu 2.59



Going by the energies, run x is most stable and the next is 94 meV/atom up.



Run w
VASP calculation (PBEsol) on a geometry-optimized CuP2Br structure.

Properties
Theoretical density ... 4.476 g/cm3
Space-group type ... Immm (71)
Density of states at the Fermi level ... 2.2 states/eV per cell

Cell lengths 2.4514, 6.1313, 6.1313 Å; angles 58.15, 78.47, 78.47 degrees
Closest atoms and distances in Å follow each position.
Atoms (fractional coordinates):
P 0.3096 0.6904 0.6904  2 Cu 2.33, 2 P 2.45
P 0.6904 0.3096 0.3096  2 Cu 2.33, 2 P 2.45
Br 0.5000 0.0000 0.0000  2 Br 2.45
Cu 0.0000 0.5000 0.5000  4 P 2.33, 2 Cu 2.45



Run x
VASP calculation (PBEsol) on a geometry-optimized CuP2Br structure.

Properties
Theoretical density ... 4.254 g/cm3
Space-group type ... C2/m (12)
Density of states at the Fermi level ... 1.4 states/eV per cell

Cell lengths 3.3402, 4.0985, 6.0906 Å; angles 89.89, 105.91, 90.00 degrees
Closest atoms and distances in Å follow each position.
Atoms (fractional coordinates):
Br 0.5000 0.5000 0.0000  4 Cu 2.64
Cu 0.0000 0.0000 0.0000  2 P 2.28
P 0.1943 0.9970 0.3886  2 P 2.12, 1 Cu 2.28
P 0.8057 0.0030 0.6114  2 P 2.12, 1 Cu 2.28



Going by the energies, run x is most stable and the next is 431 meV/atom up.